Material: NaH6Cl8
Method: DFT, PBE
State: relaxed

a b c (Å): 8.3791 8.3791 8.3791
angles (deg): 57.66 57.66 57.66
Closest atoms and distances in Å follow each position.
Fractional coordinates of all 15 atoms:
Na (0.0000, 0.0000, 0.0000)  6 Cl 2.88
Cl (0.0194, 0.5887, 0.1751)  1 H 1.32
H (0.3157, 0.8412, 0.5886)  1 Cl 1.32
Cl (0.5626, 0.5626, 0.5626)  3 H 2.16
Cl (0.9806, 0.4113, 0.8249)  1 H 1.32
Cl (0.4374, 0.4374, 0.4374)  3 H 2.16
Cl (0.1751, 0.0194, 0.5887)  1 H 1.32
Cl (0.4113, 0.8249, 0.9806)  1 H 1.32
H (0.4114, 0.6843, 0.1588)  1 Cl 1.32
H (0.5886, 0.3157, 0.8412)  1 Cl 1.32
Cl (0.8249, 0.9806, 0.4113)  1 H 1.32
Cl (0.5887, 0.1751, 0.0194)  1 H 1.32
H (0.1588, 0.4114, 0.6843)  1 Cl 1.32
H (0.6843, 0.1588, 0.4114)  1 Cl 1.32
H (0.8412, 0.5886, 0.3157)  1 Cl 1.32

Summary:
E: -3.029 eV per atom


Material: Na3HCl
Method: DFT, PBE
State: relaxed

a b c (Å): 4.7924 4.7924 4.7924
angles (deg): 90.00 90.00 90.00
Closest atoms and distances in Å follow each position.
Fractional coordinates of all 5 atoms:
Cl (0.5000, 0.5000, 0.5000)  12 Na 3.39
Na (0.5000, 0.0000, 0.0000)  2 H 2.40
Na (0.0000, 0.0000, 0.5000)  2 H 2.40
H (0.0000, 0.0000, 0.0000)  6 Na 2.40
Na (0.0000, 0.5000, 0.0000)  2 H 2.40

Summary:
Distance to the lowest polymorph of the same formula: 0 meV/atom
E: -2.350 eV per atom


Material: Na4H3Cl
Method: DFT, PBE
State: relaxed

a b c (Å): 6.2251 6.1940 7.2671
angles (deg): 90.00 90.00 109.38
Closest atoms and distances in Å follow each position.
Fractional coordinates of all 16 atoms:
Na (0.5087, 0.7203, 0.1443)  3 H 2.34-2.56
H (0.7500, 0.5000, 0.1401)  4 Na 2.34-2.51
H (0.7500, 0.0000, 0.3846)  6 Na 2.44-2.56
Na (0.4781, 0.7479, 0.6066)  5 H 2.37-2.64
H (0.7500, 0.5000, 0.6193)  6 Na 2.37-2.64
Na (0.5219, 0.2521, 0.3934)  5 H 2.37-2.64
H (0.2500, 0.0000, 0.6154)  6 Na 2.44-2.56
H (0.2500, 0.5000, 0.8599)  4 Na 2.34-2.51
Cl (0.7500, 0.0000, 0.8717)  6 Na 2.69-2.73
Na (0.9781, 0.7479, 0.3934)  5 H 2.37-2.64
H (0.2500, 0.5000, 0.3807)  6 Na 2.37-2.64
Na (0.0087, 0.7203, 0.8557)  3 H 2.34-2.56
Na (0.4913, 0.2797, 0.8557)  3 H 2.34-2.56
Na (0.0219, 0.2521, 0.6066)  5 H 2.37-2.64
Na (0.9913, 0.2797, 0.1443)  3 H 2.34-2.56
Cl (0.2500, 0.0000, 0.1283)  6 Na 2.69-2.73

Summary:
E: -2.719 eV per atom


Material: NaHCl2
Method: DFT, PBE
State: relaxed

a b c (Å): 4.7368 4.7368 4.7368
angles (deg): 60.00 60.00 60.00
Closest atoms and distances in Å follow each position.
Fractional coordinates of all 4 atoms:
H (0.0000, 0.0000, 0.0000)  8 Cl 2.90
Cl (0.2500, 0.2500, 0.2500)  4 Na 2.90, 4 H 2.90
Cl (0.7500, 0.7500, 0.7500)  4 Na 2.90, 4 H 2.90
Na (0.5000, 0.5000, 0.5000)  8 Cl 2.90

Summary:
Distance to the lowest polymorph of the same formula: 1017 meV/atom
E: -2.228 eV per atom


Material: NaH2Cl3
Method: DFT, PBE
State: relaxed

a b c (Å): 4.1703 5.5030 13.0158
angles (deg): 95.97 90.00 90.00
Closest atoms and distances in Å follow each position.
Fractional coordinates of all 12 atoms:
H (0.2500, 0.5104, 0.5809)  1 Cl 1.29
H (0.7500, 0.0009, 0.7972)  1 Cl 1.30
Cl (0.2500, 0.2304, 0.9215)  4 Na 2.73-2.78, 2 H 2.85
H (0.7500, 0.4896, 0.4191)  1 Cl 1.29
Cl (0.7500, 0.7249, 0.4269)  1 H 1.29
Na (0.2500, 0.7299, 0.9371)  4 Cl 2.73-2.78
Cl (0.7500, 0.7707, 0.7629)  1 H 1.30
Na (0.7500, 0.2701, 0.0629)  4 Cl 2.73-2.78
Cl (0.7500, 0.7696, 0.0785)  4 Na 2.73-2.78, 2 H 2.85
H (0.2500, 0.9991, 0.2028)  1 Cl 1.30
Cl (0.2500, 0.2293, 0.2371)  1 H 1.30
Cl (0.2500, 0.2751, 0.5731)  1 H 1.29

Summary:
Distance to the lowest polymorph of the same formula: 0 meV/atom
E: -3.164 eV per atom


Material: NaH2Cl2
Method: DFT, PBE
State: relaxed

a b c (Å): 4.0267 7.3733 7.7960
angles (deg): 73.61 90.00 105.85
Closest atoms and distances in Å follow each position.
Fractional coordinates of all 10 atoms:
Cl (0.0203, 0.8103, 0.9990)  1 H 1.84
H (0.4459, 0.4419, 0.4994)  1 H 0.85
H (0.9960, 0.4419, 0.9994)  1 H 0.85
Na (0.6104, 0.0000, 0.7500)  6 Cl 2.83-2.90
Cl (0.7900, 0.8103, 0.4990)  1 H 1.84
H (0.0040, 0.5581, 0.0006)  1 H 0.85
Na (0.3896, 0.0000, 0.2500)  6 Cl 2.83-2.90
H (0.5541, 0.5581, 0.5006)  1 H 0.85
Cl (0.2100, 0.1897, 0.5010)  1 H 1.84
Cl (0.9797, 0.1897, 0.0010)  1 H 1.84

Summary:
E: -2.930 eV per atom


Material: Na2HCl
Method: DFT, PBE
State: relaxed

a b c (Å): 3.3202 3.3202 6.5457
angles (deg): 90.00 90.00 90.00
Closest atoms and distances in Å follow each position.
Fractional coordinates of all 4 atoms:
Na (0.0000, 0.0000, 0.7344)  4 H 2.80, 4 Cl 2.92, 1 Na 3.07
H (0.5000, 0.5000, 0.5000)  8 Na 2.80
Na (0.0000, 0.0000, 0.2656)  4 H 2.80, 4 Cl 2.92, 1 Na 3.07
Cl (0.5000, 0.5000, 0.0000)  8 Na 2.92

Summary:
Distance to the lowest polymorph of the same formula: 164 meV/atom
E: -2.759 eV per atom


Material: Na2HCl4
Method: DFT, PBE
State: relaxed

a b c (Å): 7.4778 5.3132 8.0583
angles (deg): 90.00 102.98 90.00
Closest atoms and distances in Å follow each position.
Fractional coordinates of all 14 atoms:
Na (0.2230, 0.2500, 0.4557)  7 Cl 2.90-3.22
Cl (0.5156, 0.0021, 0.2660)  2 Cl 2.63-2.68, 2 Na 2.86-2.95
Cl (0.1303, 0.7500, 0.9661)  1 H 1.42
Cl (0.4844, 0.5021, 0.7340)  2 Cl 2.63-2.68, 2 Na 2.86-2.95
Cl (0.8697, 0.2500, 0.0339)  1 H 1.42
Cl (0.4844, 0.9979, 0.7340)  2 Cl 2.63-2.68, 2 Na 2.86-2.95
H (0.1059, 0.7500, 0.1354)  1 Cl 1.42
Cl (0.5156, 0.4979, 0.2660)  2 Cl 2.63-2.68, 2 Na 2.86-2.95
H (0.8941, 0.2500, 0.8646)  1 Cl 1.42
Na (0.2835, 0.2500, 0.9473)  1 H 2.84, 7 Cl 2.86-3.06
Cl (0.9478, 0.2500, 0.6590)  1 H 1.79
Cl (0.0522, 0.7500, 0.3410)  1 H 1.79
Na (0.7165, 0.7500, 0.0527)  1 H 2.84, 7 Cl 2.86-3.06
Na (0.7770, 0.7500, 0.5443)  7 Cl 2.90-3.22

Summary:
Distance to the lowest polymorph of the same formula: 0 meV/atom
E: -2.991 eV per atom


Material: NaH2Cl2
Method: DFT, PBE
State: relaxed

a b c (Å): 5.0674 4.0617 7.4451
angles (deg): 82.25 70.10 51.41
Closest atoms and distances in Å follow each position.
Fractional coordinates of all 5 atoms:
H (0.5320, 0.4068, 0.5291)  1 H 0.75
H (0.4680, 0.5932, 0.4709)  1 H 0.75
Na (0.0000, 0.0000, 0.0000)  6 Cl 2.81-2.86
Cl (0.2994, 0.2334, 0.1678)  1 Cl 2.64, 3 Na 2.81-2.86
Cl (0.7006, 0.7666, 0.8322)  1 Cl 2.64, 3 Na 2.81-2.86

Summary:
E: -2.929 eV per atom


Material: NaHCl2
Method: DFT, PBE
State: relaxed

a b c (Å): 6.4121 6.4121 6.4121
angles (deg): 39.27 39.27 39.27
Closest atoms and distances in Å follow each position.
Fractional coordinates of all 4 atoms:
Na (0.5000, 0.5000, 0.5000)  6 Cl 2.85
H (0.0000, 0.0000, 0.0000)  2 Cl 1.56
Cl (0.0878, 0.0878, 0.0878)  1 H 1.56
Cl (0.9122, 0.9122, 0.9122)  1 H 1.56

Summary:
Distance to the lowest polymorph of the same formula: 0 meV/atom
E: -3.245 eV per atom


Result set for calculated volume: 26.2, 22.0, 16.5, 18.8, 24.8, 21.3, 18.0, 22.3, 22.4, 23.8 Å³/atom, one per record in the order listed.